# FePbO2F

A geometry-optimized FePbO2F structure (PBE with a Hubbard U, the Alexandria database).

POSCAR file:
```
FePbO2F
1.0
4.322 0.000 0.000
0.000 4.322 0.000
0.000 0.000 4.415
Pb O Fe F
1 2 1 1
Direct
0.000 0.000 0.000
0.500 0.000 0.000
0.000 0.500 0.000
0.500 0.500 0.500
0.000 0.000 0.500
```

## Properties
E_tot ... -24.047 eV/cell